NiAs2Br after structural relaxation. Source: Alexandria via LeMat-Bulk, functional PBE-GGA.

Cell: 7.032 7.032 7.032 Å, 30.96 30.96 30.96°
Atoms (fractional coordinates):
As1 0.033 0.033 0.033
As2 0.467 0.467 0.467
Ni1 0.750 0.750 0.750
Br1 0.250 0.250 0.250

* formation energy without anion corrections: -2.275 kcal/mol of atoms
* crystal system: trigonal
* D(E_F): 0.36 states/eV per atom
* raw total energy: -4.287 eV/atom
* total magnetic moment: 0.0 μB/cell